# ScRh3S | the Alexandria database | PBE | relaxed
data_ScRh3S
_chemical_formula_sum 'Sc1 Rh3 S1'
_space_group_name_H-M_alt 'P m -3 m'
_space_group_IT_number 221
_space_group_name_Hall '-P 4 2 3'
_cell_length_a 4.399
_cell_length_b 4.399
_cell_length_c 4.399
_cell_angle_alpha 90.00
_cell_angle_beta 90.00
_cell_angle_gamma 90.00
loop_
_atom_site_label
_atom_site_type_symbol
_atom_site_fract_x
_atom_site_fract_y
_atom_site_fract_z
Sc1 Sc 0.000 0.000 0.000
Rh1 Rh 0.000 0.500 0.500
S1 S 0.500 0.500 0.500
# energy above the lowest structure with this stoichiometry: 0 meV/atom
# magnetic moment: 0.000 μB per cell
# ΔE_f (raw): -0.3588 eV/atom